1.
Crystalline RbPr2P2N6 at its relaxed geometry. Source: the Alexandria database, functional PBE-GGA.

Cell: 6.5888 6.5888 6.6743 Å, 114.90 114.90 60.35°
Sites, in units of the cell vectors:
Rb1 0.0000 0.0000 0.0000
Pr1 0.3218 0.3218 0.6966
Pr2 0.6782 0.6782 0.3034
P1 0.3454 0.3454 0.2558
P2 0.6546 0.6546 0.7442
N1 0.1017 0.4992 0.3320
N2 0.4308 0.4308 0.1288
N3 0.4992 0.1017 0.3320
N4 0.5008 0.8983 0.6680
N5 0.5692 0.5692 0.8712
N6 0.8983 0.5008 0.6680

**Energy relative to the elements, uncorrected**: -650 meV/atom
**Raw total energy**: -7.1315 eV/atom

2.
Crystalline PrPRhN at its relaxed geometry. Source: the Alexandria database, functional PBE-GGA.

Cell: 3.9200 3.9200 8.2034 Å, 90.00 90.00 90.00°
Sites, in units of the cell vectors:
Pr1 0.2500 0.2500 0.1635
Pr2 0.7500 0.7500 0.8365
P1 0.2500 0.2500 0.6608
P2 0.7500 0.7500 0.3392
Rh1 0.2500 0.7500 0.5000
Rh2 0.7500 0.2500 0.5000
N1 0.2500 0.2500 0.8662
N2 0.7500 0.7500 0.1338

**Energy relative to the elements, uncorrected**: -1162 meV/atom
**Raw total energy**: -7.6283 eV/atom

3.
Crystalline Pr2P2RhN6 at its relaxed geometry. Source: the Alexandria database, functional PBE-GGA.

Cell: 6.2338 6.2338 6.2338 Å, 52.20 52.20 52.20°
Sites, in units of the cell vectors:
Pr1 0.2178 0.2178 0.2178
Pr2 0.7822 0.7822 0.7822
P1 0.4332 0.4332 0.4332
P2 0.5668 0.5668 0.5668
Rh1 0.0000 0.0000 0.0000
N1 0.2443 0.7508 0.7508
N2 0.2492 0.2492 0.7557
N3 0.2492 0.7557 0.2492
N4 0.7508 0.2443 0.7508
N5 0.7508 0.7508 0.2443
N6 0.7557 0.2492 0.2492

**Energy relative to the elements, uncorrected**: -548 meV/atom
**Raw total energy**: -7.6099 eV/atom

4.
Crystalline PrPRuN at its relaxed geometry. Source: the Alexandria database, functional PBE-GGA.

Cell: 3.9883 3.9883 7.9799 Å, 90.00 90.00 90.00°
Sites, in units of the cell vectors:
Pr1 0.2500 0.2500 0.1679
Pr2 0.7500 0.7500 0.8321
P1 0.2500 0.2500 0.6498
P2 0.7500 0.7500 0.3502
Ru1 0.2500 0.7500 0.5000
Ru2 0.7500 0.2500 0.5000
N1 0.2500 0.2500 0.8621
N2 0.7500 0.7500 0.1379

**Energy relative to the elements, uncorrected**: -1132 meV/atom
**Raw total energy**: -8.0793 eV/atom

5.
Crystalline PrPRu2N at its relaxed geometry. Source: the Alexandria database, functional PBE-GGA.

Cell: 5.9559 5.9559 7.1448 Å, 90.00 90.00 142.99°
Sites, in units of the cell vectors:
Pr1 0.0417 0.9583 0.7500
Pr2 0.9583 0.0417 0.2500
P1 0.2305 0.7695 0.2500
P2 0.7695 0.2305 0.7500
Ru1 0.3327 0.6673 0.5533
Ru2 0.3327 0.6673 0.9467
Ru3 0.6673 0.3327 0.0533
Ru4 0.6673 0.3327 0.4467
N1 0.5000 0.5000 0.0000
N2 0.5000 0.5000 0.5000

**Energy relative to the elements, uncorrected**: -769 meV/atom
**Raw total energy**: -8.1819 eV/atom

6.
Crystalline Pr6P3S2N at its relaxed geometry. Source: the Alexandria database, functional PBE-GGA.

Cell: 9.1326 9.1326 8.2161 Å, 102.58 102.58 25.86°
Sites, in units of the cell vectors:
Pr1 0.0018 0.0018 0.2728
Pr2 0.3361 0.3361 0.9115
Pr3 0.3451 0.3451 0.4255
Pr4 0.6549 0.6549 0.5745
Pr5 0.6639 0.6639 0.0885
Pr6 0.9982 0.9982 0.7272
P1 0.1693 0.1693 0.3364
P2 0.5000 0.5000 0.0000
P3 0.8307 0.8307 0.6636
S1 0.1658 0.1658 0.8340
S2 0.8342 0.8342 0.1660
N1 0.5000 0.5000 0.5000

**Energy relative to the elements, uncorrected**: -1635 meV/atom
**Raw total energy**: -6.7587 eV/atom

Number 1: magnetization 0.09 μB per atom. Number 2: magnetization 0.00 μB per atom. Number 3: magnetization 0.00 μB per atom. Number 4: magnetization 0.00 μB per atom. Number 5: magnetization 0.00 μB per atom. Number 6: magnetization 0.00 μB per atom.